{
  "formula": "BaLaPb2Br",
  "functional": "GGA-PBEsol",
  "state": "relaxed",
  "cell": [[-3.1481, 3.0200, 3.2650], [-1.5072, -4.8686, 3.0500], [4.6077, 0.8590, 3.6482]],
  "species": ["Pb", "Pb", "Ba", "Br", "La"],
  "frac_coords": [[0.0000, 0.0000, 0.5000], [0.0000, 0.5000, 0.0000], [0.5000, 0.5000, 0.5000], [0.0000, 0.0000, 0.0000], [0.5000, 0.0000, 0.0000]],
  "raw_formation_energy_ev_per_atom": -0.27
}

{
  "formula": "FeAgOs2",
  "functional": "GGA-PBEsol",
  "state": "relaxed",
  "cell": [[-1.3128, -1.2098, -1.9920], [-2.0703, -1.6045, 0.5429], [-6.6419, 5.9839, -1.0529]],
  "species": ["Ag", "Fe", "Os", "Os"],
  "frac_coords": [[0.5000, 0.5000, 0.5000], [0.0000, 0.0000, 0.0000], [0.2585, 0.2585, 0.2245], [0.7415, 0.7415, 0.7755]],
  "formation_enthalpy_0k_ev_per_atom": 0.34,
  "e_above_lowest_polymorph_mev_per_atom": 0
}

{
  "formula": "ReSb2H",
  "functional": "GGA-PBEsol",
  "state": "relaxed",
  "cell": [[-1.3304, 1.2314, -4.1569], [-0.7834, -3.1584, -3.1586], [-4.2427, -0.8390, -1.3644]],
  "species": ["Re", "Sb", "Sb", "H"],
  "frac_coords": [[0.5000, 0.5000, 0.5000], [0.2500, 0.2500, 0.2500], [0.7500, 0.7500, 0.7500], [0.0000, 0.0000, 0.0000]],
  "e_above_lowest_polymorph_mev_per_atom": 0
}

{
  "formula": "BI2F",
  "functional": "GGA-PBEsol",
  "state": "relaxed",
  "cell": [[-0.3915, 5.7265, -1.8479], [-2.0693, -0.9993, 5.5750], [5.6290, -2.0603, 0.6559]],
  "species": ["I", "I", "I", "I", "B", "B", "F", "F"],
  "frac_coords": [[0.0575, 0.8750, 0.4325], [0.9425, 0.3750, 0.8175], [0.4425, 0.5675, 0.6250], [0.5575, 0.1825, 0.1250], [0.0000, 0.5000, 0.5000], [0.5000, 0.2500, 0.7500], [0.0000, 0.0000, 0.0000], [0.5000, 0.7500, 0.2500]],
  "raw_formation_energy_ev_per_atom": -0.08
}

{
  "formula": "Y2TlOs",
  "functional": "GGA-PBEsol",
  "state": "relaxed",
  "cell": [[-2.4055, -2.2058, -0.9383], [2.3937, -2.2811, -0.7742], [-0.3086, -2.9310, 7.6818]],
  "species": ["Os", "Tl", "Y", "Y"],
  "frac_coords": [[0.0000, 0.0000, 0.5149], [0.5000, 0.5000, 0.7071], [0.0000, 0.0000, 0.9569], [0.5000, 0.5000, 0.3211]],
  "formation_enthalpy_0k_ev_per_atom": 0.13,
  "e_above_lowest_polymorph_mev_per_atom": 466
}

{
  "formula": "Hg2PtCl",
  "functional": "GGA-PBEsol",
  "state": "relaxed",
  "cell": [[-0.9240, 2.1405, -1.9233], [2.5428, -2.1926, -3.6617], [-4.0241, -2.7621, -1.1406]],
  "species": ["Hg", "Hg", "Pt", "Cl"],
  "frac_coords": [[0.1252, 0.5000, 0.0000], [0.1249, 0.0000, 0.5000], [0.6251, 0.0000, 0.0000], [0.6249, 0.5000, 0.5000]],
  "raw_formation_energy_ev_per_atom": 0.02,
  "e_above_lowest_polymorph_mev_per_atom": 0
}

| no. | theoretical density (g/cm³) | D(E_F) (states/eV per cell) |
| --- | --- | --- |
| 1 | 6.66 | 3.6 |
| 2 | 16.44 | 3.3 |
| 3 | 10.85 | 2.9 |
| 4 | 5.71 | 0.0 |
| 5 | 10.02 | 4.8 |
| 6 | 13.94 | 1.1 |